Record 1
# DyBiPd6 PBE relaxed
# Final energy = -5.55 eV/atom
# Theoretical density = 12.02 g/cm3
# Magnetization = 0.00 μB/f.u.
data_DyBiPd6
_cell_length_a 4.109
_cell_length_b 4.109
_cell_length_c 8.264
_cell_angle_alpha 90.00
_cell_angle_beta 90.00
_cell_angle_gamma 90.00
_symmetry_space_group_name_H-M 'P 4/m m m'
_symmetry_Int_Tables_number 123
_symmetry_space_group_name_Hall '-P 4 2'
loop_
_atom_site_label
_atom_site_fract_x
_atom_site_fract_y
_atom_site_fract_z
Dy1 0.000 0.000 0.000
Bi1 0.000 0.000 0.500
Pd1 0.000 0.500 0.249
Pd2 0.500 0.500 0.000
Pd3 0.500 0.500 0.500

***

Record 2
# Pm3Dy2Bi3 PBE relaxed
# Final energy = -5.20 eV/atom
# Theoretical density = 9.48 g/cm3
# Magnetization = 0.16 μB/f.u.
data_Pm3Dy2Bi3
_cell_length_a 9.3042
_cell_length_b 9.3042
_cell_length_c 6.4811
_cell_angle_alpha 90.00
_cell_angle_beta 90.00
_cell_angle_gamma 120.00
_symmetry_space_group_name_H-M 'P 63/m c m'
_symmetry_Int_Tables_number 193
_symmetry_space_group_name_Hall '-P 6c 2'
loop_
_atom_site_label
_atom_site_fract_x
_atom_site_fract_y
_atom_site_fract_z
Pm1 0.0000 0.2456 0.2500
Dy1 0.3333 0.6667 0.0000
Bi1 0.0000 0.3920 0.7500